{"formula": "PaTc2O8", "functional": "PBE", "state": "optimized geometry", "raw_formation_energy_ev_per_atom": -1.9478, "total_magnetization_mub_per_atom": 0.276, "lattice": [[-5.5268, 3.1311, -2.4173], [-0.7601, -4.4446, -4.0196], [-2.5924, -0.3742, 5.4432]], "species": ["O", "O", "O", "O", "O", "O", "O", "O", "Tc", "Tc", "Pa"], "fractional_positions": [[0.4594, 0.6667, 0.3333], [0.1810, 0.1721, 0.3441], [0.8191, 0.8279, 0.1721], [0.5406, 0.3333, 0.6667], [0.8190, 0.8279, 0.6558], [0.1810, 0.6559, 0.8279], [0.8190, 0.3441, 0.1721], [0.1809, 0.1721, 0.8279], [0.7119, 0.6667, 0.3333], [0.2881, 0.3333, 0.6667], [0.0000, 0.0000, 0.0000]]}